SrBr2 SCAN PBEsol geometry; raw total energy = -273.0 eV per cell; E_form (uncorrected) = -2.355 eV/atom; space-group type = Pnma
1.0
7.878 0.000 0.000
0.000 4.738 0.000
0.000 0.000 9.458
Sr Br
4 8
Direct
0.245 0.250 0.112
0.255 0.750 0.612
0.745 0.250 0.388
0.755 0.750 0.888
0.021 0.250 0.835
0.143 0.250 0.425
0.357 0.750 0.925
0.479 0.750 0.335
0.521 0.250 0.665
0.643 0.250 0.075
0.857 0.750 0.575
0.979 0.750 0.165

SrTc2Br SCAN PBEsol geometry; raw total energy = -110.2 eV per cell; E_form (uncorrected) = 0.416 eV/atom; space-group type = Imm2
1.0
-1.793 2.872 4.410
1.793 -2.872 4.410
1.793 2.872 -4.410
Sr Tc Br
1 2 1
Direct
0.000 0.000 0.000
0.515 0.515 0.000
0.677 0.177 0.500
0.285 0.785 0.500

SrTc3Br SCAN PBEsol geometry; raw total energy = -132.3 eV per cell; E_form (uncorrected) = 2.927 eV/atom; space-group type = Pm-3m
1.0
5.101 0.000 0.000
0.000 5.101 0.000
0.000 0.000 5.101
Sr Tc Br
1 3 1
Direct
0.000 0.000 0.000
0.000 0.000 0.500
0.000 0.500 0.000
0.500 0.000 0.000
0.500 0.500 0.500

SrTc2Br SCAN PBEsol geometry; raw total energy = -108.9 eV per cell; E_form (uncorrected) = 0.729 eV/atom; space-group type = P4/mmm
1.0
3.792 0.000 0.000
0.000 3.792 0.000
0.000 0.000 5.635
Sr Tc Br
1 2 1
Direct
0.000 0.000 0.000
0.000 0.500 0.500
0.500 0.000 0.500
0.500 0.500 0.000

SrTc2Br SCAN PBEsol geometry; raw total energy = -111.7 eV per cell; E_form (uncorrected) = 0.040 eV/atom; space-group type = P4mm
1.0
3.176 0.000 0.000
0.000 3.176 0.000
0.000 0.000 8.012
Sr Tc Br
1 2 1
Direct
0.000 0.000 0.000
0.000 0.000 0.441
0.500 0.500 0.294
0.500 0.500 0.734

SrTcBr3 SCAN PBEsol geometry; raw total energy = -119.0 eV per cell; E_form (uncorrected) = -0.656 eV/atom; space-group type = Pm-3m
1.0
5.059 0.000 0.000
0.000 5.059 0.000
0.000 0.000 5.059
Sr Tc Br
1 1 3
Direct
0.000 0.000 0.000
0.500 0.500 0.500
0.000 0.500 0.500
0.500 0.000 0.500
0.500 0.500 0.000

SrTeBr SCAN PBEsol geometry; raw total energy = -81.9 eV per cell; E_form (uncorrected) = -0.986 eV/atom; space-group type = F-43m
1.0
0.000 3.848 3.848
3.848 0.000 3.848
3.848 3.848 0.000
Sr Te Br
1 1 1
Direct
0.000 0.000 0.000
0.250 0.250 0.250
0.500 0.500 0.500

SrTe2Br2 SCAN PBEsol geometry; raw total energy = -141.6 eV per cell; E_form (uncorrected) = -1.190 eV/atom; space-group type = I4/mmm
1.0
-2.039 2.039 10.905
2.039 -2.039 10.905
2.039 2.039 -10.905
Sr Te Br
1 2 2
Direct
0.000 0.000 0.000
0.250 0.750 0.500
0.750 0.250 0.500
0.424 0.424 0.000
0.576 0.576 0.000

SrTi3Br SCAN PBEsol geometry; raw total energy = -87.3 eV per cell; E_form (uncorrected) = 0.503 eV/atom; space-group type = Pm-3m
1.0
4.830 0.000 0.000
0.000 4.830 0.000
0.000 0.000 4.830
Sr Ti Br
1 3 1
Direct
0.000 0.000 0.000
0.000 0.500 0.500
0.500 0.000 0.500
0.500 0.500 0.000
0.500 0.500 0.500

Sr2TlBr SCAN PBEsol geometry; raw total energy = -140.9 eV per cell; E_form (uncorrected) = -1.124 eV/atom; space-group type = P4/mmm
1.0
4.605 0.000 0.000
0.000 4.605 0.000
0.000 0.000 6.603
Sr Tl Br
2 1 1
Direct
0.000 0.000 0.000
0.500 0.500 0.500
0.000 0.000 0.500
0.500 0.500 0.000

SrTl3Br SCAN PBEsol geometry; raw total energy = -257.2 eV per cell; E_form (uncorrected) = 0.326 eV/atom; space-group type = Pm-3m
1.0
6.211 0.000 0.000
0.000 6.211 0.000
0.000 0.000 6.211
Sr Tl Br
1 3 1
Direct
0.000 0.000 0.000
0.000 0.000 0.500
0.000 0.500 0.000
0.500 0.000 0.000
0.500 0.500 0.500

Sr2TlBr SCAN PBEsol geometry; raw total energy = -141.0 eV per cell; E_form (uncorrected) = -1.162 eV/atom; space-group type = P2/m
1.0
4.075 0.000 0.000
0.000 3.905 0.000
-0.032 0.000 8.837
Sr Tl Br
2 1 1
Direct
0.002 0.000 0.223
0.998 0.000 0.777
0.500 0.500 0.000
0.000 0.500 0.500

Sr2TlBr SCAN PBEsol geometry; raw total energy = -139.8 eV per cell; E_form (uncorrected) = -0.863 eV/atom; space-group type = I4/mmm
1.0
-2.736 2.736 4.321
2.736 -2.736 4.321
2.736 2.736 -4.321
Sr Tl Br
2 1 1
Direct
0.250 0.750 0.500
0.750 0.250 0.500
0.000 0.000 0.000
0.500 0.500 0.000

Sr2TlBr SCAN PBEsol geometry; raw total energy = -141.0 eV per cell; E_form (uncorrected) = -1.148 eV/atom; space-group type = R-3m
1.0
2.169 1.252 8.496
-2.169 1.252 8.496
0.000 -2.505 8.496
Sr Tl Br
2 1 1
Direct
0.250 0.250 0.250
0.750 0.750 0.750
0.000 0.000 0.000
0.500 0.500 0.500